1.
The following is a SCAN calculation of a crystal of Ca3Tl2O6 relaxed with PBEsol, from the Alexandria database.

The space-group type is Pbam, No. 55. For the uncorrected formation energy, the calculation gives -2.12 eV/atom.

Unit cell a=11.2347 b=16.4565 c=3.3278 alpha=90.00 beta=90.00 gamma=90.00
Positions (direct):
Ca 0.1033 0.1462 0.0000
Ca 0.1341 0.5406 0.0000
Ca 0.1718 0.7745 0.0000
Ca 0.3282 0.2745 0.0000
Ca 0.3659 0.0406 0.0000
Ca 0.3967 0.6462 0.0000
Ca 0.6033 0.3538 0.0000
Ca 0.6341 0.9594 0.0000
Ca 0.6718 0.7255 0.0000
Ca 0.8282 0.2255 0.0000
Ca 0.8659 0.4594 0.0000
Ca 0.8967 0.8538 0.0000
Tl 0.0851 0.3521 0.5000
Tl 0.1349 0.9546 0.5000
Tl 0.3651 0.4546 0.5000
Tl 0.4149 0.8521 0.5000
Tl 0.5851 0.1479 0.5000
Tl 0.6349 0.5454 0.5000
Tl 0.8651 0.0454 0.5000
Tl 0.9149 0.6479 0.5000
O 0.0000 0.0000 0.0000
O 0.0000 0.5000 0.5000
O 0.0426 0.6668 0.0000
O 0.0531 0.8394 0.5000
O 0.1913 0.2383 0.5000
O 0.2164 0.4048 0.0000
O 0.2192 0.0689 0.5000
O 0.2808 0.5689 0.5000
O 0.2836 0.9048 0.0000
O 0.3087 0.7383 0.5000
O 0.4469 0.3394 0.5000
O 0.4574 0.1668 0.0000
O 0.5000 0.0000 0.5000
O 0.5000 0.5000 0.0000
O 0.5426 0.8332 0.0000
O 0.5531 0.6606 0.5000
O 0.6913 0.2617 0.5000
O 0.7164 0.0952 0.0000
O 0.7192 0.4311 0.5000
O 0.7808 0.9311 0.5000
O 0.7836 0.5952 0.0000
O 0.8087 0.7617 0.5000
O 0.9469 0.1606 0.5000
O 0.9574 0.3332 0.0000

***

2.
The following is a SCAN calculation of a crystal of Mn2BiOsC relaxed with PBEsol, from the Alexandria database.

The space-group type is P4/mmm, No. 123. For the formation energy, the calculation gives 268.60 kJ/mol of atoms.

Unit cell a=5.0477 b=5.0477 c=4.9751 alpha=90.00 beta=90.00 gamma=90.00
Positions (direct):
Mn 0.0000 0.5000 0.0000
Mn 0.5000 0.0000 0.0000
Bi 0.0000 0.0000 0.0000
Os 0.0000 0.0000 0.5000
C 0.5000 0.5000 0.5000

***

3.
The following is a SCAN calculation of a crystal of Hg3BO relaxed with PBEsol, from the Alexandria database.

The space-group type is Pm-3m, No. 221. For the uncorrected formation energy, the calculation gives 0.61 eV/atom.

Unit cell a=4.4690 b=4.4690 c=4.4690 alpha=90.00 beta=90.00 gamma=90.00
Positions (direct):
Hg 0.0000 0.0000 0.5000
Hg 0.0000 0.5000 0.0000
Hg 0.5000 0.0000 0.0000
B 0.0000 0.0000 0.0000
O 0.5000 0.5000 0.5000

***

4.
The following is a SCAN calculation of a crystal of Sr3PbN relaxed with PBEsol, from the Alexandria database.

The space-group type is C2/m, No. 12. For the uncorrected formation energy, the calculation gives -0.79 eV/atom.

Unit cell a=7.2156 b=7.2156 c=6.5264 alpha=101.59 beta=101.59 gamma=64.84
Positions (direct):
Sr 0.1342 0.6985 0.7131
Sr 0.1597 0.1597 0.8199
Sr 0.3015 0.8658 0.2869
Sr 0.6985 0.1342 0.7131
Sr 0.8403 0.8403 0.1801
Sr 0.8658 0.3015 0.2869
Pb 0.3595 0.3595 0.2858
Pb 0.6405 0.6405 0.7143
N 0.0000 0.0000 0.0000
N 0.0000 0.0000 0.5000

***

5.
The following is a SCAN calculation of a crystal of BeHgAu relaxed with PBEsol, from the Alexandria database.

The space-group type is P3m1, No. 156. For the formation energy, the calculation gives 10.42 kJ/mol of atoms.

Unit cell a=4.0080 b=4.0080 c=3.6053 alpha=90.00 beta=90.00 gamma=120.00
Positions (direct):
Be 0.0000 0.0000 0.0000
Hg 0.6667 0.3333 0.4900
Au 0.3333 0.6667 0.9877

***

6.
The following is a SCAN calculation of a crystal of LiTi2Te4 relaxed with PBEsol, from the Alexandria database.

The space-group type is C2/m, No. 12. For the uncorrected formation energy, the calculation gives -0.84 eV/atom.

Unit cell a=7.8274 b=7.8274 c=6.5409 alpha=114.43 beta=114.43 gamma=27.86
Positions (direct):
Li 0.0000 0.0000 0.0000
Ti 0.2488 0.2488 0.2610
Ti 0.7512 0.7512 0.7390
Te 0.1240 0.1240 0.4654
Te 0.3704 0.3704 0.0420
Te 0.6296 0.6296 0.9580
Te 0.8760 0.8760 0.5346

***

7.
The following is a SCAN calculation of a crystal of ReSiTe3 relaxed with PBEsol, from the Alexandria database.

The space-group type is Pm-3m, No. 221. For the uncorrected formation energy, the calculation gives 1.54 eV/atom.

Unit cell a=5.0959 b=5.0959 c=5.0959 alpha=90.00 beta=90.00 gamma=90.00
Positions (direct):
Re 0.0000 0.0000 0.0000
Si 0.5000 0.5000 0.5000
Te 0.0000 0.5000 0.5000
Te 0.5000 0.0000 0.5000
Te 0.5000 0.5000 0.0000

***

8.
The following is a SCAN calculation of a crystal of RbCa2C relaxed with PBEsol, from the Alexandria database.

The space-group type is Fd-3m, No. 227. For the formation energy, the calculation gives 44.19 kJ/mol of atoms.

Unit cell a=7.7450 b=7.7450 c=7.7450 alpha=60.00 beta=60.00 gamma=60.00
Positions (direct):
Rb 0.1250 0.1250 0.1250
Rb 0.8750 0.8750 0.8750
Ca 0.0000 0.5000 0.5000
Ca 0.5000 0.0000 0.5000
Ca 0.5000 0.5000 0.0000
Ca 0.5000 0.5000 0.5000
C 0.3750 0.3750 0.3750
C 0.6250 0.6250 0.6250

***

9.
The following is a SCAN calculation of a crystal of Ti6Sn5 relaxed with PBEsol, from the Alexandria database.

The space-group type is P6_3/mmc, No. 194. For the formation energy, the calculation gives -43.61 kJ/mol of atoms.

Unit cell a=9.1691 b=9.1691 c=5.6356 alpha=90.00 beta=90.00 gamma=120.00
Positions (direct):
Ti 0.0000 0.5000 0.0000
Ti 0.0000 0.5000 0.5000
Ti 0.1563 0.3126 0.2500
Ti 0.1563 0.8437 0.2500
Ti 0.3126 0.1563 0.7500
Ti 0.5000 0.0000 0.0000
Ti 0.5000 0.0000 0.5000
Ti 0.5000 0.5000 0.0000
Ti 0.5000 0.5000 0.5000
Ti 0.6874 0.8437 0.2500
Ti 0.8437 0.1563 0.7500
Ti 0.8437 0.6874 0.7500
Sn 0.0000 0.0000 0.0000
Sn 0.0000 0.0000 0.5000
Sn 0.2043 0.4086 0.7500
Sn 0.2043 0.7957 0.7500
Sn 0.3333 0.6667 0.2500
Sn 0.4086 0.2043 0.2500
Sn 0.5914 0.7957 0.7500
Sn 0.6667 0.3333 0.7500
Sn 0.7957 0.2043 0.2500
Sn 0.7957 0.5914 0.2500

***

10.
The following is a SCAN calculation of a crystal of LaCr2ReH relaxed with PBEsol, from the Alexandria database.

The space-group type is P4/mmm, No. 123.

Unit cell a=4.8363 b=4.8363 c=4.8352 alpha=90.00 beta=90.00 gamma=90.00
Positions (direct):
La 0.0000 0.0000 0.0000
Cr 0.0000 0.5000 0.0000
Cr 0.5000 0.0000 0.0000
Re 0.0000 0.0000 0.5000
H 0.5000 0.5000 0.5000

***

11.
The following is a SCAN calculation of a crystal of KLa4Rh relaxed with PBEsol, from the Alexandria database.

The space-group type is F-43m, No. 216. For the formation energy, the calculation gives 65.67 kJ/mol of atoms.

Unit cell a=6.3973 b=6.3973 c=6.3973 alpha=60.00 beta=60.00 gamma=60.00
Positions (direct):
K 0.0000 0.0000 0.0000
La 0.3796 0.3796 0.3796
La 0.3796 0.3796 0.8613
La 0.3796 0.8613 0.3796
La 0.8613 0.3796 0.3796
Rh 0.7500 0.7500 0.7500

***

12.
The following is a SCAN calculation of a crystal of BeCu3Ni relaxed with PBEsol, from the Alexandria database.

The space-group type is Pm-3m, No. 221. For the formation energy, the calculation gives 117.37 kJ/mol of atoms.

Unit cell a=4.2522 b=4.2522 c=4.2522 alpha=90.00 beta=90.00 gamma=90.00
Positions (direct):
Be 0.0000 0.0000 0.0000
Cu 0.0000 0.5000 0.5000
Cu 0.5000 0.0000 0.5000
Cu 0.5000 0.5000 0.0000
Ni 0.5000 0.5000 0.5000

***

13.
The following is a SCAN calculation of a crystal of K3Cu2P4HO14 relaxed with PBEsol, from the Alexandria database.

The space-group type is P-1, No. 2.

Unit cell a=5.2513 b=5.5415 c=12.7289 alpha=90.61 beta=100.37 gamma=116.90
Positions (direct):
K 0.0000 0.0000 0.0000
K 0.2036 0.8504 0.5647
K 0.7964 0.1496 0.4353
Cu 0.0279 0.7740 0.2813
Cu 0.9721 0.2260 0.7187
P 0.4150 0.4700 0.3419
P 0.4398 0.7095 0.1498
P 0.5602 0.2905 0.8502
P 0.5850 0.5300 0.6581
H 0.5000 0.5000 0.0000
O 0.2340 0.1088 0.8061
O 0.2486 0.3764 0.6222
O 0.2492 0.8400 0.1689
O 0.2741 0.6434 0.3742
O 0.2878 0.1880 0.3781
O 0.3453 0.4356 0.2111
O 0.3702 0.6090 0.0302
O 0.6298 0.3910 0.9698
O 0.6547 0.5644 0.7889
O 0.7122 0.8120 0.6219
O 0.7259 0.3566 0.6258
O 0.7508 0.1600 0.8311
O 0.7514 0.6236 0.3778
O 0.7660 0.8912 0.1939

***

14.
The following is a SCAN calculation of a crystal of ScMn2AlHg relaxed with PBEsol, from the Alexandria database.

The space-group type is P4/mmm, No. 123. For the formation energy, the calculation gives 34.22 kJ/mol of atoms.

Unit cell a=4.5486 b=4.5486 c=4.7858 alpha=90.00 beta=90.00 gamma=90.00
Positions (direct):
Sc 0.0000 0.0000 0.0000
Mn 0.0000 0.5000 0.5000
Mn 0.5000 0.0000 0.5000
Al 0.5000 0.5000 0.5000
Hg 0.5000 0.5000 0.0000

***

15.
The following is a SCAN calculation of a crystal of ScPdI2O relaxed with PBEsol, from the Alexandria database.

The space-group type is P4/mmm, No. 123. For the uncorrected formation energy, the calculation gives -0.26 eV/atom.

Unit cell a=5.4972 b=5.4972 c=3.8298 alpha=90.00 beta=90.00 gamma=90.00
Positions (direct):
Sc 0.0000 0.0000 0.0000
Pd 0.5000 0.5000 0.5000
I 0.0000 0.5000 0.5000
I 0.5000 0.0000 0.5000
O 0.5000 0.5000 0.0000

***

16.
The following is a SCAN calculation of a crystal of ZnTcSe2 relaxed with PBEsol, from the Alexandria database.

The space-group type is Amm2, No. 38. For the uncorrected formation energy, the calculation gives 0.00 eV/atom.

Unit cell a=4.9186 b=3.8973 c=3.8973 alpha=75.72 beta=90.00 gamma=90.00
Positions (direct):
Zn 0.0000 0.0000 0.0000
Tc 0.5000 0.2433 0.2433
Se 0.0000 0.3907 0.3907
Se 0.5000 0.8442 0.8442

***

17.
The following is a SCAN calculation of a crystal of BaSr2Mg relaxed with PBEsol, from the Alexandria database.

The space-group type is P4mm, No. 99. For the formation energy, the calculation gives -1.73 kJ/mol of atoms.

Unit cell a=4.2093 b=4.2093 c=10.3562 alpha=90.00 beta=90.00 gamma=90.00
Positions (direct):
Ba 0.0000 0.0000 0.0000
Sr 0.0000 0.0000 0.4017
Sr 0.5000 0.5000 0.6901
Mg 0.5000 0.5000 0.2117

***

18.
The following is a SCAN calculation of a crystal of Rb2CoCl4 relaxed with PBEsol, from the Alexandria database.

The space-group type is Pnma, No. 62. For the uncorrected formation energy, the calculation gives -1.71 eV/atom.

Unit cell a=9.2105 b=7.0550 c=12.5527 alpha=90.00 beta=90.00 gamma=90.00
Positions (direct):
Rb 0.0179 0.2500 0.1736
Rb 0.1299 0.7500 0.4174
Rb 0.3701 0.2500 0.9174
Rb 0.4821 0.7500 0.6736
Rb 0.5179 0.2500 0.3264
Rb 0.6299 0.7500 0.0826
Rb 0.8701 0.2500 0.5826
Rb 0.9821 0.7500 0.8264
Co 0.2281 0.7500 0.0751
Co 0.2719 0.2500 0.5751
Co 0.7281 0.7500 0.4249
Co 0.7719 0.2500 0.9249
Cl 0.0112 0.2500 0.9098
Cl 0.1770 0.5038 0.6514
Cl 0.1770 0.9962 0.6514
Cl 0.1843 0.2500 0.4098
Cl 0.3157 0.7500 0.9098
Cl 0.3230 0.0038 0.1514
Cl 0.3230 0.4962 0.1514
Cl 0.4888 0.7500 0.4098
Cl 0.5112 0.2500 0.5902
Cl 0.6770 0.5038 0.8486
Cl 0.6770 0.9962 0.8486
Cl 0.6843 0.2500 0.0902
Cl 0.8157 0.7500 0.5902
Cl 0.8230 0.0038 0.3486
Cl 0.8230 0.4962 0.3486
Cl 0.9888 0.7500 0.0902

***

19.
The following is a SCAN calculation of a crystal of CrIr relaxed with PBEsol, from the Alexandria database.

The space-group type is P-3m1, No. 164. For the formation energy, the calculation gives -1.22 kJ/mol of atoms.

Unit cell a=2.6499 b=2.6499 c=8.5020 alpha=90.00 beta=90.00 gamma=120.00
Positions (direct):
Cr 0.3333 0.6667 0.3752
Cr 0.6667 0.3333 0.6248
Ir 0.3333 0.6667 0.8605
Ir 0.6667 0.3333 0.1395

***

20.
The following is a SCAN calculation of a crystal of TeP2Ir relaxed with PBEsol, from the Alexandria database.

The space-group type is Imm2, No. 44. For the uncorrected formation energy, the calculation gives 0.17 eV/atom.

Unit cell a=6.7209 b=6.7209 c=6.7209 alpha=150.35 beta=149.23 gamma=43.25
Positions (direct):
Te 0.0000 0.0000 0.0000
P 0.6906 0.6906 0.0000
P 0.8068 0.3068 0.5000
Ir 0.3365 0.8365 0.5000

***

21.
The following is a SCAN calculation of a crystal of MnBi4S7 relaxed with PBEsol, from the Alexandria database.

The space-group type is C2/m, No. 12. For the uncorrected formation energy, the calculation gives -0.43 eV/atom.

Unit cell a=6.6349 b=6.6349 c=11.7127 alpha=104.02 beta=104.02 gamma=34.39
Positions (direct):
Mn 0.0000 0.0000 0.0000
Bi 0.1187 0.1187 0.4199
Bi 0.3130 0.3130 0.1644
Bi 0.6870 0.6870 0.8356
Bi 0.8813 0.8813 0.5801
S 0.0314 0.0314 0.8059
S 0.2549 0.2549 0.6467
S 0.3533 0.3533 0.9520
S 0.5000 0.5000 0.5000
S 0.6467 0.6467 0.0480
S 0.7451 0.7451 0.3533
S 0.9686 0.9686 0.1941

***

22.
The following is a SCAN calculation of a crystal of Mg2ZnRh relaxed with PBEsol, from the Alexandria database.

The space-group type is I-4m2, No. 119. For the formation energy, the calculation gives -41.14 kJ/mol of atoms.

Unit cell a=4.9776 b=4.9776 c=4.9776 alpha=134.50 beta=134.50 gamma=66.31
Positions (direct):
Mg 0.0000 0.0000 0.0000
Mg 0.7500 0.2500 0.5000
Zn 0.2500 0.7500 0.5000
Rh 0.5000 0.5000 0.0000

***

23.
The following is a SCAN calculation of a crystal of FeAsIBr2 relaxed with PBEsol, from the Alexandria database.

The space-group type is P4/mmm, No. 123. For the uncorrected formation energy, the calculation gives 1.11 eV/atom.

Unit cell a=5.6006 b=5.6006 c=5.4063 alpha=90.00 beta=90.00 gamma=90.00
Positions (direct):
Fe 0.0000 0.0000 0.0000
As 0.5000 0.5000 0.0000
I 0.5000 0.5000 0.5000
Br 0.0000 0.5000 0.5000
Br 0.5000 0.0000 0.5000

***

no.,total DFT energy (no corrections) (eV per cell),total magnetic moment (Bohr magnetons per cell)
1,-937.7,0.00
2,-183.2,8.65
3,-215.1,0.97
4,-311.7,0.00
5,-141.4,0.00
6,-189.4,1.05
7,-185.2,3.74
8,-96.7,0.00
9,-561.5,0.00
10,-140.6,7.22
11,-210.4,0.00
12,-60.0,0.00
13,-239.7,2.03
14,-124.9,7.07
15,-128.0,1.92
16,-88.7,0.00
17,-89.1,0.14
18,-410.5,12.00
19,-179.0,0.00
20,-128.5,0.00
21,-405.1,5.00
22,-58.9,0.00
23,-108.4,3.47